VASP calculation (PBE-GGA) on crystalline Sr3Tb2UAs6 at its relaxed geometry.

Geometry as CIF:
```
data_Sr3Tb2UAs6
_cell_length_a 7.346
_cell_length_b 12.723
_cell_length_c 7.550
_cell_angle_alpha 90.00
_cell_angle_beta 108.96
_cell_angle_gamma 90.00
_symmetry_space_group_name_H-M 'C 1 2/m 1'
_symmetry_Int_Tables_number 12
_symmetry_space_group_name_Hall '-C 2y'
loop_
_atom_site_label
_atom_site_fract_x
_atom_site_fract_y
_atom_site_fract_z
Sr1 0.000 0.000 0.000
Sr2 0.000 0.330 0.000
Tb1 0.000 0.166 0.500
U1 0.000 0.500 0.500
As1 0.231 0.341 0.718
As2 0.244 0.500 0.282
```

Output
Magnetization in μB/f.u.: 0.000
Energy relative to the elements in eV per atom: -1.21